Record 1
# SmNpHgO6 | Alexandria | PBE-GGA | relaxed
# Total DFT energy (no corrections), eV per atom: -7.561
# Space-group type: P4_2nm, No. 102
data_SmNpHgO6
_space_group_name_H-M_alt 'P 1'
_space_group_IT_number 1
_cell_length_a 5.1862
_cell_length_b 5.1862
_cell_length_c 10.5158
_cell_angle_alpha 90.00
_cell_angle_beta 90.00
_cell_angle_gamma 90.00
loop_
_space_group_symop_operation_xyz
'x,y,z'
loop_
_atom_site_label
_atom_site_fract_x
_atom_site_fract_y
_atom_site_fract_z
_atom_site_occupancy
Sm1 0.5000 0.5000 0.1679 1
Sm2 0.0000 0.0000 0.6679 1
Np1 0.5000 0.5000 0.8328 1
Np2 0.0000 0.0000 0.3328 1
Hg1 0.5000 0.5000 0.4980 1
Hg2 0.0000 0.0000 0.9980 1
O1 0.1807 0.8193 0.4820 1
O2 0.8193 0.1807 0.4820 1
O3 0.3193 0.3193 0.9820 1
O4 0.6807 0.6807 0.9820 1
O5 0.1888 0.8112 0.1906 1
O6 0.8112 0.1888 0.1906 1
O7 0.3112 0.3112 0.6906 1
O8 0.6888 0.6888 0.6906 1
O9 0.7741 0.2259 0.8281 1
O10 0.2259 0.7741 0.8281 1
O11 0.7259 0.7259 0.3281 1
O12 0.2741 0.2741 0.3281 1

---

Record 2
# SmNpHg2O6 | Alexandria | PBE-GGA | relaxed
# Total DFT energy (no corrections), eV per atom: -6.768
# Space-group type: R-3, No. 148
data_SmNpHg2O6
_space_group_name_H-M_alt 'P 1'
_space_group_IT_number 1
_cell_length_a 5.9036
_cell_length_b 5.9033
_cell_length_c 6.1821
_cell_angle_alpha 61.47
_cell_angle_beta 61.47
_cell_angle_gamma 60.00
loop_
_space_group_symop_operation_xyz
'x,y,z'
loop_
_atom_site_label
_atom_site_fract_x
_atom_site_fract_y
_atom_site_fract_z
_atom_site_occupancy
Sm1 0.8162 0.8162 0.5515 1
Np1 0.3162 0.3162 0.0515 1
Hg1 0.5626 0.5626 0.3122 1
Hg2 0.0697 0.0697 0.7909 1
O1 0.5479 0.1949 0.2924 1
O2 0.1950 0.9647 0.2924 1
O3 0.9648 0.5478 0.2925 1
O4 0.4374 0.6676 0.8106 1
O5 0.6675 0.0845 0.8105 1
O6 0.0844 0.4374 0.8106 1

---

Record 3
# SrNpHg2O6 | Alexandria | PBE-GGA | relaxed
# Total DFT energy (no corrections), eV per atom: -6.314
# Space-group type: R-3, No. 148
data_SrNpHg2O6
_space_group_name_H-M_alt 'P 1'
_space_group_IT_number 1
_cell_length_a 6.0006
_cell_length_b 6.0008
_cell_length_c 6.2014
_cell_angle_alpha 61.07
_cell_angle_beta 61.07
_cell_angle_gamma 60.01
loop_
_space_group_symop_operation_xyz
'x,y,z'
loop_
_atom_site_label
_atom_site_fract_x
_atom_site_fract_y
_atom_site_fract_z
_atom_site_occupancy
Sr1 0.8162 0.8162 0.5515 1
Np1 0.3162 0.3162 0.0515 1
Hg1 0.5566 0.5568 0.3299 1
Hg2 0.0757 0.0755 0.7732 1
O1 0.5247 0.2270 0.2891 1
O2 0.2269 0.9593 0.2891 1
O3 0.9592 0.5248 0.2890 1
O4 0.4054 0.6730 0.8140 1
O5 0.6731 0.1076 0.8140 1
O6 0.1076 0.4054 0.8140 1

---

Record 4
# NpHgTe2O8 | Alexandria | PBE-GGA | relaxed
# Total DFT energy (no corrections), eV per atom: -6.418
# Space-group type: C2/m, No. 12
data_NpHgTe2O8
_space_group_name_H-M_alt 'P 1'
_space_group_IT_number 1
_cell_length_a 6.0219
_cell_length_b 7.3845
_cell_length_c 7.0573
_cell_angle_alpha 46.32
_cell_angle_beta 64.75
_cell_angle_gamma 65.94
loop_
_space_group_symop_operation_xyz
'x,y,z'
loop_
_atom_site_label
_atom_site_fract_x
_atom_site_fract_y
_atom_site_fract_z
_atom_site_occupancy
Np1 0.0000 0.0000 0.0000 1
Hg1 0.5000 0.5000 0.5000 1
Te1 0.2894 0.2045 0.2167 1
Te2 0.7106 0.7955 0.7833 1
O1 0.9361 0.3440 0.7839 1
O2 0.6598 0.5196 0.1608 1
O3 0.0639 0.6560 0.2161 1
O4 0.3402 0.4804 0.8392 1
O5 0.6078 0.9896 0.2530 1
O6 0.3922 0.0104 0.7470 1
O7 0.1496 0.9896 0.2530 1
O8 0.8504 0.0104 0.7470 1

---

Record 5
# NpHgTeO6 | Alexandria | PBE-GGA | relaxed
# Total DFT energy (no corrections), eV per atom: -6.642
# Space-group type: P-31c, No. 163
data_NpHgTeO6
_space_group_name_H-M_alt 'P 1'
_space_group_IT_number 1
_cell_length_a 5.7238
_cell_length_b 5.7238
_cell_length_c 9.6898
_cell_angle_alpha 90.00
_cell_angle_beta 90.00
_cell_angle_gamma 120.00
loop_
_space_group_symop_operation_xyz
'x,y,z'
loop_
_atom_site_label
_atom_site_fract_x
_atom_site_fract_y
_atom_site_fract_z
_atom_site_occupancy
Np1 0.6667 0.3333 0.2500 1
Np2 0.3333 0.6667 0.7500 1
Hg1 0.0000 0.0000 0.0000 1
Hg2 0.0000 0.0000 0.5000 1
Te1 0.3333 0.6667 0.2500 1
Te2 0.6667 0.3333 0.7500 1
O1 0.6454 0.6350 0.1380 1
O2 0.9896 0.3546 0.1380 1
O3 0.3546 0.9896 0.6380 1
O4 0.0104 0.6454 0.8620 1
O5 0.3650 0.3546 0.3620 1
O6 0.9896 0.6350 0.3620 1
O7 0.6350 0.9896 0.8620 1
O8 0.6454 0.0104 0.3620 1
O9 0.0104 0.3650 0.6380 1
O10 0.3650 0.0104 0.1380 1
O11 0.6350 0.6454 0.6380 1
O12 0.3546 0.3650 0.8620 1

---

Record 6
# NpHgTeO | Alexandria | PBE-GGA | relaxed
# Total DFT energy (no corrections), eV per atom: -6.770
# Space-group type: P4/nmm, No. 129
data_NpHgTeO
_space_group_name_H-M_alt 'P 1'
_space_group_IT_number 1
_cell_length_a 4.0091
_cell_length_b 4.0091
_cell_length_c 12.3109
_cell_angle_alpha 90.00
_cell_angle_beta 90.00
_cell_angle_gamma 90.00
loop_
_space_group_symop_operation_xyz
'x,y,z'
loop_
_atom_site_label
_atom_site_fract_x
_atom_site_fract_y
_atom_site_fract_z
_atom_site_occupancy
Np1 0.7500 0.7500 0.9052 1
Np2 0.2500 0.2500 0.0948 1
Hg1 0.2500 0.7500 0.5000 1
Hg2 0.7500 0.2500 0.5000 1
Te1 0.7500 0.7500 0.2317 1
Te2 0.2500 0.2500 0.7683 1
O1 0.7500 0.2500 0.0000 1
O2 0.2500 0.7500 0.0000 1

---

Record 7
# NpTl2HgO8 | Alexandria | PBE-GGA | relaxed
# Total DFT energy (no corrections), eV per atom: -5.963
# Space-group type: P-1, No. 2
data_NpTl2HgO8
_space_group_name_H-M_alt 'P 1'
_space_group_IT_number 1
_cell_length_a 5.2111
_cell_length_b 5.1963
_cell_length_c 6.9772
_cell_angle_alpha 86.30
_cell_angle_beta 93.54
_cell_angle_gamma 94.39
loop_
_space_group_symop_operation_xyz
'x,y,z'
loop_
_atom_site_label
_atom_site_fract_x
_atom_site_fract_y
_atom_site_fract_z
_atom_site_occupancy
Np1 0.0000 0.0000 0.0000 1
Tl1 0.4708 0.5294 0.7444 1
Tl2 0.5292 0.4706 0.2556 1
Hg1 0.0000 0.0000 0.5000 1
O1 0.1932 0.8016 0.1772 1
O2 0.6996 0.7037 0.0001 1
O3 0.8379 0.1657 0.2388 1
O4 0.8068 0.1984 0.8228 1
O5 0.3004 0.2963 0.9999 1
O6 0.1621 0.8343 0.7612 1
O7 0.6931 0.6966 0.4996 1
O8 0.3069 0.3034 0.5004 1

---

Record 8
# Np2TlHgO8 | Alexandria | PBE-GGA | relaxed
# Total DFT energy (no corrections), eV per atom: -7.441
# Space-group type: P-3, No. 147
data_Np2TlHgO8
_space_group_name_H-M_alt 'P 1'
_space_group_IT_number 1
_cell_length_a 6.1187
_cell_length_b 6.1187
_cell_length_c 6.7052
_cell_angle_alpha 90.00
_cell_angle_beta 90.00
_cell_angle_gamma 120.00
loop_
_space_group_symop_operation_xyz
'x,y,z'
loop_
_atom_site_label
_atom_site_fract_x
_atom_site_fract_y
_atom_site_fract_z
_atom_site_occupancy
Np1 0.6667 0.3333 0.0596 1
Np2 0.3333 0.6667 0.9404 1
Tl1 0.0000 0.0000 0.5000 1
Hg1 0.0000 0.0000 0.0000 1
O1 0.9369 0.6114 0.8694 1
O2 0.3886 0.3255 0.8694 1
O3 0.6745 0.0631 0.8694 1
O4 0.0631 0.3886 0.1306 1
O5 0.6114 0.6745 0.1306 1
O6 0.3255 0.9369 0.1306 1
O7 0.6667 0.3333 0.3353 1
O8 0.3333 0.6667 0.6647 1

---

Record 9
# NpTlHg2O6 | Alexandria | PBE-GGA | relaxed
# Total DFT energy (no corrections), eV per atom: -5.865
# Space-group type: R-3, No. 148
data_NpTlHg2O6
_space_group_name_H-M_alt 'P 1'
_space_group_IT_number 1
_cell_length_a 6.1711
_cell_length_b 6.1662
_cell_length_c 6.2660
_cell_angle_alpha 90.02
_cell_angle_beta 119.51
_cell_angle_gamma 119.99
loop_
_space_group_symop_operation_xyz
'x,y,z'
loop_
_atom_site_label
_atom_site_fract_x
_atom_site_fract_y
_atom_site_fract_z
_atom_site_occupancy
Np1 0.9966 0.9978 0.9802 1
Tl1 0.9966 0.4978 0.4803 1
Hg1 0.5344 0.7668 0.2864 1
Hg2 0.4588 0.2288 0.6743 1
O1 0.5861 0.9424 0.7474 1
O2 0.4069 0.0531 0.2130 1
O3 0.8741 0.8201 0.2131 1
O4 0.1739 0.3533 0.2127 1
O5 0.8191 0.6422 0.7477 1
O6 0.1190 0.1755 0.7473 1

---

Record 10
# NpTl2Hg2O6 | Alexandria | PBE-GGA | relaxed
# Total DFT energy (no corrections), eV per atom: -5.605
# Space-group type: C2/m, No. 12
data_NpTl2Hg2O6
_space_group_name_H-M_alt 'P 1'
_space_group_IT_number 1
_cell_length_a 6.0821
_cell_length_b 6.0821
_cell_length_c 7.3762
_cell_angle_alpha 108.01
_cell_angle_beta 108.01
_cell_angle_gamma 107.77
loop_
_space_group_symop_operation_xyz
'x,y,z'
loop_
_atom_site_label
_atom_site_fract_x
_atom_site_fract_y
_atom_site_fract_z
_atom_site_occupancy
Np1 0.0000 0.0000 0.5000 1
Tl1 0.8086 0.1914 0.0000 1
Tl2 0.1914 0.8086 0.0000 1
Hg1 0.3304 0.6696 0.5000 1
Hg2 0.6696 0.3304 0.5000 1
O1 0.7427 0.7427 0.5749 1
O2 0.0105 0.3070 0.7302 1
O3 0.2573 0.2573 0.4251 1
O4 0.3070 0.0105 0.7302 1
O5 0.9895 0.6930 0.2698 1
O6 0.6930 0.9895 0.2698 1

---

Record 11
# Tm2NpHgO8 | Alexandria | PBE-GGA | relaxed
# Total DFT energy (no corrections), eV per atom: -7.600
# Space-group type: P-1, No. 2
data_Tm2NpHgO8
_space_group_name_H-M_alt 'P 1'
_space_group_IT_number 1
_cell_length_a 5.0127
_cell_length_b 5.0147
_cell_length_c 7.0924
_cell_angle_alpha 93.44
_cell_angle_beta 86.61
_cell_angle_gamma 93.26
loop_
_space_group_symop_operation_xyz
'x,y,z'
loop_
_atom_site_label
_atom_site_fract_x
_atom_site_fract_y
_atom_site_fract_z
_atom_site_occupancy
Tm1 0.5202 0.4800 0.7419 1
Tm2 0.4798 0.5200 0.2581 1
Np1 0.0000 0.0000 0.0000 1
Hg1 0.0000 0.0000 0.5000 1
O1 0.1769 0.8224 0.2317 1
O2 0.7053 0.7072 0.0002 1
O3 0.7940 0.2084 0.1837 1
O4 0.8231 0.1776 0.7683 1
O5 0.2947 0.2928 0.9998 1
O6 0.2060 0.7916 0.8163 1
O7 0.6907 0.6912 0.5001 1
O8 0.3093 0.3088 0.4999 1